Record 1
# NdGaGe4, optimized geometry, DFT PBE-GGA
data_NdGaGe4
_chemical_formula_sum 'Nd4 Ga4 Ge16'
_space_group_name_H-M_alt 'F -4 3 m'
_space_group_IT_number 216
_space_group_name_Hall 'F -4 2 3'
_cell_length_a 7.9452
_cell_length_b 7.9452
_cell_length_c 7.9452
_cell_angle_alpha 90.00
_cell_angle_beta 90.00
_cell_angle_gamma 90.00
loop_
_atom_site_label
_atom_site_type_symbol
_atom_site_fract_x
_atom_site_fract_y
_atom_site_fract_z
Nd1 Nd 0.0000 0.0000 0.0000
Ga1 Ga 0.2500 0.2500 0.2500
Ge1 Ge 0.1244 0.1244 0.6244
# DOS at the Fermi energy   0.510 states/eV per atom
# Density   6.68 Mg/m³
# Energy relative to the elements   -0.1846 eV/atom
# Magnetic moment   0.000 μB per atom
# Calculated volume   502 Å³/cell

Record 2
# LaAgPb, optimized geometry, DFT PBE-GGA
data_LaAgPb
_chemical_formula_sum 'La4 Ag4 Pb4'
_space_group_name_H-M_alt 'C 1 m 1'
_space_group_IT_number 8
_space_group_name_Hall 'C -2y'
_cell_length_a 10.5698
_cell_length_b 4.8328
_cell_length_c 6.5971
_cell_angle_alpha 90.00
_cell_angle_beta 90.42
_cell_angle_gamma 90.00
loop_
_atom_site_label
_atom_site_type_symbol
_atom_site_fract_x
_atom_site_fract_y
_atom_site_fract_z
La1 La 0.0000 0.0000 0.0000
La2 La 0.1193 0.5000 0.5589
Ag1 Ag 0.3110 0.0000 0.2848
Ag2 Ag 0.4203 0.5000 0.4806
Pb1 Pb 0.1969 0.5000 0.0853
Pb2 Pb 0.3146 0.0000 0.7547
# DOS at the Fermi energy   0.681 states/eV per atom
# Density   8.95 Mg/m³
# Energy relative to the elements   -0.3684 eV/atom
# Magnetic moment   0.000 μB per atom
# Calculated volume   337 Å³/cell